(1)
The following is a DFT calculation (PBE) of an optimized crystal structure of VCoN3.

Output
Electronic total energy, Ha/atom: -0.263
Formation energy from raw total energies, eV per atom: 1.0734

abc: 3.616 3.616 3.616
angles: 90.00 90.00 90.00
Space group Pm-3m (No. 221)
Unique sites:
V: 0.000 0.000 0.000 x1
Co: 0.500 0.500 0.500 x1
N: 0.000 0.500 0.500 x3

(2)
The following is a DFT calculation (PBE) of an optimized crystal structure of CePaPN.

Output
Electronic total energy, Ha/atom: -0.317
Formation energy from raw total energies, eV per atom: -1.3298

abc: 3.8580 3.8580 40.1390
angles: 90.00 90.00 120.00
Space group R-3m (No. 166, hexagonal axes)
Unique sites:
Ce: 0.0000 0.0000 0.2071 x6
Pa: 0.0000 0.0000 0.3702 x6
P: 0.0000 0.0000 0.0825 x6
N: 0.0000 0.0000 0.3128 x6

> What is the electronic total energy in the first record?

-0.263 Ha/atom

> formation energy from raw total energies of number 2 (CePaPN)?

-1.3298 eV per atom

> Look up the formation energy from raw total energies of the second one.

-1.3298 eV per atom

> Which formula does entry 2 have?

CePaPN